[1]
Material: VSb4O12
Method: DFT, PBE+U
State: optimized geometry

Unit cell a=5.091 b=5.498 c=7.657 alpha=94.70 beta=90.25 gamma=90.98
Element x y z (fractional)
V 0.000 0.000 0.000
Sb 0.013 0.396 0.308
Sb 0.499 0.865 0.766
Sb 0.516 0.871 0.302
Sb 0.997 0.395 0.775
O 0.157 0.386 0.548
O 0.186 0.701 0.875
O 0.194 0.059 0.214
O 0.284 0.156 0.865
O 0.328 0.565 0.221
O 0.359 0.891 0.536
O 0.665 0.545 0.725
O 0.669 0.867 0.029
O 0.698 0.191 0.350
O 0.835 0.051 0.755
O 0.837 0.704 0.358
O 0.908 0.337 0.039

Results
SG = P1
Final energy = -6.2549 eV/atom
Calculated density = 5676 kg/m3

=====

[2]
Material: V2SbO
Method: DFT, PBE+U
State: optimized geometry

Unit cell a=4.557 b=4.557 c=4.557 alpha=60.00 beta=60.00 gamma=60.00
Element x y z (fractional)
V 0.250 0.250 0.250
V 0.750 0.750 0.750
Sb 0.000 0.000 0.000
O 0.500 0.500 0.500

Results
SG = Fm-3m
Excess energy over the best structure of this formula in the dataset = 0.909 eV per atom
Calculated density = 5949 kg/m3

=====

[3]
Material: VSb2O6
Method: DFT, PBE+U
State: optimized geometry

Unit cell a=8.927 b=8.927 c=4.853 alpha=90.00 beta=90.00 gamma=120.00
Element x y z (fractional)
V 0.000 0.000 0.000
V 0.333 0.667 0.503
V 0.667 0.333 0.497
Sb 0.000 0.302 0.500
Sb 0.000 0.638 0.000
Sb 0.302 0.000 0.500
Sb 0.362 0.362 0.000
Sb 0.638 0.000 0.000
Sb 0.698 0.698 0.500
O 0.101 0.887 0.762
O 0.113 0.214 0.762
O 0.124 0.531 0.717
O 0.214 0.113 0.238
O 0.217 0.450 0.279
O 0.232 0.783 0.279
O 0.406 0.876 0.717
O 0.450 0.217 0.721
O 0.469 0.594 0.717
O 0.531 0.124 0.283
O 0.550 0.768 0.279
O 0.594 0.469 0.283
O 0.768 0.550 0.721
O 0.783 0.232 0.721
O 0.786 0.899 0.762
O 0.876 0.406 0.283
O 0.887 0.101 0.238
O 0.899 0.786 0.238

Results
SG = P321
Excess energy over the best structure of this formula in the dataset = 0.031 eV per atom
Calculated density = 5807 kg/m3

=====

[4]
Material: VSbO5
Method: DFT, PBE+U
State: optimized geometry

Unit cell a=5.686 b=5.686 c=7.300 alpha=104.93 beta=104.93 gamma=101.32
Element x y z (fractional)
V 0.164 0.836 0.750
V 0.836 0.164 0.250
Sb 0.500 0.500 0.000
Sb 0.500 0.500 0.500
O 0.151 0.255 0.406
O 0.211 0.638 0.893
O 0.255 0.151 0.906
O 0.362 0.789 0.607
O 0.420 0.580 0.250
O 0.580 0.420 0.750
O 0.638 0.211 0.393
O 0.745 0.849 0.094
O 0.789 0.362 0.107
O 0.849 0.745 0.594

Results
SG = C2/c
Final energy = -6.7633 eV/atom
Calculated density = 3969 kg/m3

=====

[5]
Material: V2SbO
Method: DFT, PBE+U
State: optimized geometry

Unit cell a=5.628 b=5.628 c=5.628 alpha=110.21 beta=110.21 gamma=108.00
Element x y z (fractional)
V 0.015 0.625 0.890
V 0.375 0.265 0.390
V 0.735 0.125 0.110
V 0.875 0.985 0.610
Sb 0.250 0.750 0.500
Sb 0.500 0.500 0.000
O 0.000 0.000 0.000
O 0.750 0.250 0.500

Results
SG = I-42d
Excess energy over the best structure of this formula in the dataset = 0.000 eV per atom
Calculated density = 5803 kg/m3

=====

Look up the calculated density of the third one.
5807 kg/m3

=====

calculated density of number 1 (VSb4O12)?
5676 kg/m3

=====

What is the calculated density in the second record?
5949 kg/m3